--- one ---
Compound: CuSiNi4
Source: Alexandria via LeMat-Bulk
Functional: PBE
Structure: optimized geometry

Cell: 4.8089 4.8049 7.1395 Å, 100.50 100.52 117.27°
Element x y z (fractional)
Ni  0.2854  0.5221  0.5618
Si  0.3750  0.6250  0.2500
Ni  0.5222  0.2853  0.0618
Si  0.6250  0.3750  0.7500
Ni  0.7146  0.4779  0.4382
Ni  0.2236  0.9603  0.4382
Ni  0.4778  0.7147  0.9382
Ni  0.7764  0.0397  0.5618
Ni  0.0396  0.7765  0.0618
Ni  0.9604  0.2235  0.9382
Cu  0.8750  0.1250  0.2501
Cu  0.1250  0.8750  0.7499

Output
**D(E_F)**: 10.57 states/eV per cell

=====

--- two ---
Compound: CuSiNi4
Source: Alexandria via LeMat-Bulk
Functional: PBE
Structure: optimized geometry

Cell: 4.6392 4.6392 4.6392 Å, 60.00 60.00 60.00°
Each line ends with the local moment (μB).
Element x y z (fractional)
Si  0.7500  0.7500  0.7500  0.00
Ni  0.3750  0.8749  0.3750  0.18
Cu  0.0000  0.0000  0.0000  0.01
Ni  0.8749  0.3750  0.3750  0.18
Ni  0.3750  0.3750  0.3750  0.18
Ni  0.3750  0.3750  0.8749  0.18

Output
**D(E_F)**: 8.28 states/eV per cell

=====

Most stable: one. Least stable: two.

=====

--- one ---
Compound: Cu2SiNi2
Source: Alexandria via LeMat-Bulk
Functional: PBE
Structure: optimized geometry

Cell: 5.7315 5.7315 3.7644 Å, 90.00 90.00 90.00°
Element x y z (fractional)
Ni  0.3567  0.8567  0.0000
Cu  0.6595  0.8405  0.5000
Cu  0.3405  0.1595  0.5000
Ni  0.8567  0.6433  0.0000
Si  0.5000  0.5000  0.0000
Si  0.0000  0.0000  0.0000
Ni  0.6433  0.1433  0.0000
Cu  0.1595  0.6595  0.5000
Cu  0.8405  0.3405  0.5000
Ni  0.1433  0.3567  0.0000

Output
**D(E_F)**: 5.69 states/eV per cell

=====

--- two ---
Compound: Cu2SiNi2
Source: Alexandria via LeMat-Bulk
Functional: PBE
Structure: optimized geometry

Cell: 5.9877 5.9877 3.3992 Å, 90.00 90.00 90.00°
Element x y z (fractional)
Si  0.0000  0.0000  0.0000
Si  0.5000  0.5000  0.0000
Ni  0.3379  0.1621  0.5000
Ni  0.1621  0.6621  0.5000
Ni  0.6621  0.8379  0.5000
Cu  0.3613  0.8613  0.0000
Cu  0.8613  0.6387  0.0000
Cu  0.1387  0.3613  0.0000
Ni  0.8379  0.3379  0.5000
Cu  0.6387  0.1387  0.0000

Output
**D(E_F)**: 7.91 states/eV per cell

=====

Most stable: one. Least stable: two.